No. 1
# ScIn3Cl6 | the Alexandria database | PBE-GGA | optimized geometry
data_ScIn3Cl6
_chemical_formula_sum 'Sc1 In3 Cl6'
_cell_length_a 7.096
_cell_length_b 7.096
_cell_length_c 8.119
_cell_angle_alpha 110.70
_cell_angle_beta 110.70
_cell_angle_gamma 101.03
_space_group_name_H-M_alt 'P 1'
_space_group_IT_number 1
loop_
_space_group_symop_operation_xyz
'x,y,z'
loop_
_atom_site_label
_atom_site_type_symbol
_atom_site_fract_x
_atom_site_fract_y
_atom_site_fract_z
Cl1 Cl 0.670 0.670 0.739
Cl2 Cl 0.226 0.774 0.000
Cl3 Cl 0.069 0.069 0.739
Cl4 Cl 0.774 0.226 0.000
Cl5 Cl 0.330 0.330 0.261
Cl6 Cl 0.931 0.931 0.261
Sc1 Sc 0.000 0.000 0.000
In1 In 0.500 0.500 0.000
In2 In 0.250 0.750 0.500
In3 In 0.750 0.250 0.500
# * electronic total energy: -38.55 eV for the cell shown
# * N(E_F): 0.00 states/eV/cell
# * total magnetization: 0.00 μB per formula unit

=====

No. 2
# ScIn4Cl | the Alexandria database | PBE-GGA | optimized geometry
data_ScIn4Cl
_chemical_formula_sum 'Sc1 In4 Cl1'
_cell_length_a 6.020
_cell_length_b 6.020
_cell_length_c 6.020
_cell_angle_alpha 60.00
_cell_angle_beta 60.00
_cell_angle_gamma 60.00
_space_group_name_H-M_alt 'P 1'
_space_group_IT_number 1
loop_
_space_group_symop_operation_xyz
'x,y,z'
loop_
_atom_site_label
_atom_site_type_symbol
_atom_site_fract_x
_atom_site_fract_y
_atom_site_fract_z
In1 In 0.375 0.375 0.875
In2 In 0.875 0.375 0.375
In3 In 0.375 0.875 0.375
In4 In 0.375 0.375 0.375
Cl1 Cl 0.000 0.000 0.000
Sc1 Sc 0.750 0.750 0.750
# * electronic total energy: -19.70 eV for the cell shown
# * N(E_F): 2.72 states/eV/cell
# * total magnetization: 0.00 μB per formula unit